Density functional theory data (GGA-PBE) for crystalline Nd4Er2Tl3H2 at its relaxed geometry.

Cell and atoms, written as POSCAR:
```
Nd4Er2Tl3H2
1.0
-0.7161 2.0197 -4.3146
2.4140 -3.6077 -2.0894
-11.6094 -5.6841 1.9555
Nd Er Tl H
4 2 3 2
direct
0.4125 0.9125 0.8249
0.9125 0.4125 0.8249
0.0875 0.5875 0.1751
0.5875 0.0875 0.1751
0.2996 0.2996 0.5991
0.7004 0.7004 0.4009
0.0000 0.0000 0.0000
0.1777 0.1777 0.3555
0.8223 0.8223 0.6445
0.3906 0.3906 0.7812
0.6094 0.6094 0.2188
```

Summary:
For the density of states at the Fermi level, the calculation gives 9.06 states/eV/f.u. As for the total DFT energy (no corrections): -4.066 eV per atom. The calculated density comes out at 8.65 g/cm3. The value obtained for the volume is 292.9 Å³ per cell. For the total magnetic moment, the calculation gives 0.00 μB per atom.